Si2TcSe after structural relaxation, computed with PBE.

```
Si2TcSe
1.0
4.9780 -0.0139 -0.0070
1.7877 4.6460 0.0070
-2.9025 -3.0177 2.6926
Se Si Tc
1 2 1
Direct
0.2085 0.7085 0.5000
0.9837 0.9837 0.0000
0.7691 0.2691 0.5000
0.5387 0.5387 0.0000
```

Uncorrected formation energy = 0.3260 eV/atom
Space-group type = Imm2


NaBiIO2 after structural relaxation, computed with PBE.

```
NaBiIO2
1.0
4.4819 0.0000 0.0000
0.0000 4.4819 0.0000
0.0000 0.0000 5.3241
I Na Bi O
1 1 1 2
Direct
0.0000 0.0000 0.5000
0.0000 0.0000 0.0000
0.5000 0.5000 0.5000
0.0000 0.5000 0.0000
0.5000 0.0000 0.0000
```

Relative energy among the computed polymorphs = 1332 meV/atom
Uncorrected formation energy = 0.3401 eV/atom
Space-group type = P4/mmm


Li7Ca2Mg3 after structural relaxation, computed with PBE.

```
Li7Ca2Mg3
1.0
-1.8108 2.7478 0.7037
-3.4408 -1.1693 -4.2882
-10.4162 -9.0080 8.3702
Li Ca Mg
7 2 3
Direct
0.5000 0.2459 0.5003
0.5000 0.7541 0.4997
0.0000 0.6117 0.1371
0.0000 0.0000 0.0000
0.0000 0.3883 0.8629
0.5000 0.8938 0.8248
0.5000 0.1062 0.1752
0.5000 0.5674 0.3106
0.5000 0.4326 0.6894
0.5000 0.5000 0.0000
0.0000 0.0529 0.3562
0.0000 0.9471 0.6438
```

ΔE_f = 0.05 eV/atom
Relative energy among the computed polymorphs = 29 meV/atom
Space-group type = P2/m


| no. | mass density (g/cm3) |
| --- | --- |
| 1 | 6.205 |
| 2 | 6.069 |
| 3 | 1.106 |